Below is a crystal of Zr2Ni21B6 relaxed with PBEsol, with properties calculated at the SCAN level.

The structure in POSCAR format:
```
Zr2Ni21B6
1.0
0.000 5.231 5.231
5.231 0.000 5.231
5.231 5.231 0.000
Zr Ni B
2 21 6
Cartesian
2.615 2.615 2.615 Zr
7.846 7.846 7.846 Zr
0.000 0.000 0.000 Ni
1.775 1.775 0.000 Ni
3.456 3.456 0.000 Ni
1.775 0.000 1.775 Ni
5.231 3.456 1.775 Ni
3.456 0.000 3.456 Ni
5.231 1.775 3.456 Ni
6.424 4.038 4.038 Ni
0.000 1.775 1.775 Ni
3.456 5.231 1.775 Ni
3.456 1.775 5.231 Ni
4.038 4.038 4.038 Ni
6.424 6.424 4.038 Ni
6.424 4.038 6.424 Ni
4.038 6.424 4.038 Ni
4.038 4.038 6.424 Ni
6.424 6.424 6.424 Ni
0.000 3.456 3.456 Ni
1.775 5.231 3.456 Ni
1.775 3.456 5.231 Ni
4.038 6.424 6.424 Ni
5.231 5.231 2.808 B
5.231 2.808 5.231 B
7.654 5.231 5.231 B
2.808 5.231 5.231 B
5.231 7.654 5.231 B
5.231 5.231 7.654 B
```

Summary:
Its space group is Fm-3m, No. 225. The magnetization comes out at 0.00 μB per formula unit. The calculation puts the formation energy at -372 meV per atom. For the electronic total energy, the calculation gives -456.4 eV/cell.